This record from Alexandria describes an optimized crystal structure of SrMnI3. The functional is PBEsol.

```
SrMnI3
1.0
5.530 0.000 0.000
0.000 5.530 0.000
0.000 0.000 5.530
I Sr Mn
3 1 1
Direct
0.000 0.500 0.000 I
0.000 0.000 0.500 I
0.500 0.000 0.000 I
0.500 0.500 0.500 Sr
0.000 0.000 0.000 Mn
```

Values from the calculation:
The total magnetic moment is 4.44 μB per formula unit. The calculated total energy comes out at -3.975 eV per atom. Its uncorrected formation energy is -3.0 eV per formula unit.


This record from Alexandria describes an optimized crystal structure of TaMnTeI2. The functional is PBEsol.

```
TaMnTeI2
1.0
-1.634 4.179 2.929
-4.151 0.820 -3.486
-3.167 -3.332 2.987
Te I Ta Mn
1 2 1 1
Direct
0.500 0.000 0.000 Te
0.000 0.000 0.500 I
0.000 0.500 0.000 I
0.000 0.000 0.000 Ta
0.500 0.500 0.500 Mn
```

Values from the calculation:
The total magnetic moment is 5.36 μB per formula unit. The calculated total energy comes out at -5.164 eV per atom. Its uncorrected formation energy is 3.6 eV per formula unit. The value obtained for the energy above the most stable polymorph in this dataset is 0.000 eV/atom.


This record from Alexandria describes an optimized crystal structure of MnTc3I. The functional is PBEsol.

```
MnTc3I
1.0
-1.580 -3.358 2.415
-0.381 -2.457 -3.665
4.119 -1.516 0.588
Tc Mn I
3 1 1
Direct
0.000 0.000 0.500 Tc
0.000 0.500 0.000 Tc
0.500 0.000 0.000 Tc
0.000 0.000 0.000 Mn
0.500 0.500 0.500 I
```

Values from the calculation:
The total magnetic moment is 0.00 μB per formula unit. The calculated total energy comes out at -7.587 eV per atom. Its uncorrected formation energy is 7.4 eV per formula unit.


This record from Alexandria describes an optimized crystal structure of Mn3TeI. The functional is PBEsol.

```
Mn3TeI
1.0
5.029 0.000 0.000
0.000 5.029 0.000
0.000 0.000 5.029
Te Mn I
1 3 1
Direct
0.000 0.000 0.000 Te
0.000 0.500 0.000 Mn
0.500 0.000 0.000 Mn
0.000 0.000 0.500 Mn
0.500 0.500 0.500 I
```

Values from the calculation:
The total magnetic moment is 12.01 μB per formula unit. The calculated total energy comes out at -5.907 eV per atom. Its uncorrected formation energy is 5.0 eV per formula unit.


This record from Alexandria describes an optimized crystal structure of MnZnTe2I. The functional is PBEsol.

```
MnZnTe2I
1.0
5.192 0.000 0.000
0.000 5.192 0.000
0.000 0.000 5.490
Zn Te Mn I
1 2 1 1
Direct
0.000 0.000 0.000 Zn
0.000 0.500 0.000 Te
0.500 0.000 0.000 Te
0.500 0.500 0.500 Mn
0.000 0.000 0.500 I
```

Values from the calculation:
The total magnetic moment is 5.02 μB per formula unit. The calculated total energy comes out at -3.397 eV per atom. Its uncorrected formation energy is 3.2 eV per formula unit.


This record from Alexandria describes an optimized crystal structure of Ti2MnWI. The functional is PBEsol.

```
Ti2MnWI
1.0
4.396 0.000 0.000
0.000 4.396 0.000
0.000 0.000 4.602
Mn I W Ti
1 1 1 2
Direct
0.000 0.000 0.000 Mn
0.000 0.000 0.500 I
0.500 0.500 0.500 W
0.000 0.500 0.000 Ti
0.500 0.000 0.000 Ti
```

Values from the calculation:
The total magnetic moment is 0.52 μB per formula unit. The calculated total energy comes out at -7.114 eV per atom. Its uncorrected formation energy is 6.4 eV per formula unit.


This record from Alexandria describes an optimized crystal structure of Mn2ZnI. The functional is PBEsol.

```
Mn2ZnI
1.0
-2.570 -3.342 0.473
-0.192 -2.972 -3.021
1.635 -3.850 0.706
Mn Zn I
2 1 1
Direct
0.750 0.750 0.750 Mn
0.250 0.250 0.250 Mn
0.000 0.000 0.000 Zn
0.500 0.500 0.500 I
```

Values from the calculation:
The total magnetic moment is 0.77 μB per formula unit. The calculated total energy comes out at -4.913 eV per atom. Its uncorrected formation energy is 3.2 eV per formula unit.


This record from Alexandria describes an optimized crystal structure of ZrMn3I. The functional is PBEsol.

```
ZrMn3I
1.0
4.631 0.000 0.000
0.000 4.631 0.000
0.000 0.000 4.631
Mn I Zr
3 1 1
Direct
0.000 0.000 0.500 Mn
0.000 0.500 0.000 Mn
0.500 0.000 0.000 Mn
0.000 0.000 0.000 I
0.500 0.500 0.500 Zr
```

Values from the calculation:
The total magnetic moment is 6.88 μB per formula unit. The calculated total energy comes out at -6.690 eV per atom. Its uncorrected formation energy is 6.7 eV per formula unit.